The following is a PBE calculation of crystalline Ac3La4Er4 at its relaxed geometry, from Alexandria via LeMat-Bulk.

Summary:
Formation energy (eV/atom): 0.06
Uncorrected energy (eV for the cell shown): -49.6
Magnetization (Bohr magnetons per cell): 0.00

Cell lengths 3.6774, 5.8774, 18.9536 Å; angles 81.13, 84.41, 89.99 degrees
With the nearest neighbours (Å) after each atom.
Fractional coordinates of all 11 atoms:
Er (0.3171, 0.8170, 0.3654)  5 La 3.39-3.61, 2 Er 3.68
Er (0.5459, 0.5459, 0.9097)  3 Er 3.36-3.68, 2 La 3.42
Er (0.4541, 0.4542, 0.0902)  3 Er 3.36-3.68, 2 La 3.42
Er (0.6830, 0.1830, 0.6346)  5 La 3.39-3.61, 2 Er 3.68
La (0.4079, 0.9077, 0.1837)  3 Er 3.39-3.42, 2 La 3.68
La (0.2661, 0.2660, 0.4680)  4 Er 3.51-3.61, 6 La 3.66-3.68
La (0.7340, 0.7340, 0.5320)  4 Er 3.51-3.61, 6 La 3.66-3.68
La (0.5921, 0.0923, 0.8163)  3 Er 3.39-3.42, 2 La 3.68
Ac (0.1375, 0.6372, 0.7262)  2 Ac 3.68, 6 La 3.85-4.06, 6 Er 3.86-3.88
Ac (0.0000, 0.0000, 0.0000)  2 Ac 3.68, 8 Er 3.85-3.86, 4 La 3.89
Ac (0.8625, 0.3628, 0.2739)  2 Ac 3.68, 6 La 3.85-4.06, 6 Er 3.86-3.89

***

The following is a PBE calculation of crystalline MgZrCd3 at its relaxed geometry, from Alexandria via LeMat-Bulk.

Summary:
Formation energy (eV/atom): 0.15
Distance to the lowest polymorph of the same formula (meV/atom): 259
Uncorrected energy (eV for the cell shown): -24.3
Magnetization (Bohr magnetons per cell): 0.00

Cell lengths 5.1648, 6.0035, 8.5160 Å; angles 110.64, 107.69, 90.00 degrees
With the nearest neighbours (Å) after each atom.
Fractional coordinates of all 10 atoms:
Cd (0.4097, 0.6588, 0.3176)  2 Cd 2.96-2.97, 3 Mg 3.01-3.02, 3 Zr 3.04-3.12
Cd (0.1999, 0.9506, 0.9012)  3 Mg 2.87-2.93, 3 Cd 2.95-2.99, 2 Zr 3.00
Cd (0.0056, 0.7551, 0.5102)  5 Cd 2.95-3.01, 2 Mg 3.02-3.03, 1 Zr 3.20
Cd (0.9944, 0.2449, 0.4898)  5 Cd 2.95-3.01, 2 Mg 3.02-3.03, 1 Zr 3.20
Cd (0.8001, 0.0494, 0.0988)  3 Mg 2.87-2.93, 3 Cd 2.95-2.99, 2 Zr 3.00
Cd (0.5903, 0.3412, 0.6824)  2 Cd 2.96-2.97, 3 Mg 3.01-3.02, 3 Zr 3.04-3.12
Zr (0.2067, 0.4573, 0.9147)  2 Zr 2.88-2.89, 6 Cd 3.00-3.20
Zr (0.7933, 0.5427, 0.0853)  2 Zr 2.88-2.89, 6 Cd 3.00-3.20
Mg (0.3916, 0.1407, 0.2814)  8 Cd 2.87-3.03
Mg (0.6084, 0.8593, 0.7186)  8 Cd 2.87-3.03

***

The following is a PBE calculation of crystalline Ce2Zn2In3 at its relaxed geometry, from Alexandria via LeMat-Bulk.

Summary:
Formation energy (eV/atom): -0.23
Distance to the lowest polymorph of the same formula (meV/atom): 48
Uncorrected energy (eV for the cell shown): -24.3
Magnetization (Bohr magnetons per cell): 2.39

Cell lengths 4.8630, 3.2795, 10.9407 Å; angles 90.00, 77.16, 90.00 degrees
With the nearest neighbours (Å) after each atom.
Fractional coordinates of all 7 atoms:
Ce (0.8624, 0.5000, 0.2752)  4 Zn 3.26, 2 Ce 3.28, 8 In 3.33-3.61
Ce (0.1376, 0.5000, 0.7248)  4 Zn 3.26, 2 Ce 3.28, 8 In 3.33-3.61
Zn (0.4288, 0.0000, 0.1426)  3 In 2.87-2.99, 1 Zn 3.04
Zn (0.5712, 0.0000, 0.8574)  3 In 2.87-2.99, 1 Zn 3.04
In (0.2885, 0.0000, 0.4231)  4 In 2.93-3.28, 1 Zn 2.99
In (0.7115, 0.0000, 0.5769)  4 In 2.93-3.28, 1 Zn 2.99
In (0.0000, 0.0000, 0.0000)  4 Zn 2.87

***

The following is a PBE calculation of crystalline Nd8SbPb5 at its relaxed geometry, from Alexandria via LeMat-Bulk.

Summary:
Uncorrected energy (eV for the cell shown): -70.1
Magnetization (Bohr magnetons per cell): 0.00
Formation energy (no corrections) (eV/atom): -0.66

Cell lengths 8.3818, 8.3818, 8.3818 Å; angles 109.44, 109.53, 109.44 degrees
With the nearest neighbours (Å) after each atom.
Fractional coordinates of all 14 atoms:
Nd (0.6226, 0.8879, 0.8756)  1 Sb 3.19, 5 Pb 3.21-3.51
Nd (0.1256, 0.7489, 0.5154)  5 Pb 3.22-3.50, 1 Sb 3.48
Nd (0.2652, 0.2530, 0.3774)  1 Sb 3.19, 5 Pb 3.21-3.51
Nd (0.1244, 0.7470, 0.0123)  1 Sb 3.19, 5 Pb 3.21-3.51
Nd (0.4846, 0.6102, 0.2335)  5 Pb 3.22-3.50, 1 Sb 3.48
Nd (0.9877, 0.1121, 0.7348)  1 Sb 3.19, 5 Pb 3.21-3.51
Nd (0.6233, 0.3898, 0.8744)  5 Pb 3.22-3.50, 1 Sb 3.48
Nd (0.7665, 0.2511, 0.3767)  5 Pb 3.22-3.50, 1 Sb 3.48
Pb (0.8764, 0.8754, 0.2504)  8 Nd 3.21-3.51
Pb (0.7496, 0.6260, 0.6250)  8 Nd 3.21-3.51
Pb (0.9991, 0.3740, 0.1236)  8 Nd 3.21-3.51
Pb (0.5000, 0.0000, 0.5000)  8 Nd 3.22-3.51
Pb (0.3750, 0.1246, 0.0009)  8 Nd 3.21-3.51
Sb (0.2500, 0.5000, 0.7500)  8 Nd 3.19-3.48

***

The following is a PBE calculation of crystalline Nb2GaCoS at its relaxed geometry, from Alexandria via LeMat-Bulk.

Summary:
Uncorrected energy (eV for the cell shown): -26.4
Magnetization (Bohr magnetons per cell): 0.05
Formation energy (no corrections) (eV/atom): 1.60

Cell lengths 4.8352, 4.3958, 4.8352 Å; angles 90.00, 90.00, 90.00 degrees
With the nearest neighbours (Å) after each atom.
Fractional coordinates of all 5 atoms:
Co (0.5000, 0.5000, 0.5000)  8 Nb 3.27, 4 S 3.42
Nb (0.0000, 0.0000, 0.5000)  2 Ga 2.42
Nb (0.5000, 0.0000, 0.0000)  2 Ga 2.42
S (0.0000, 0.5000, 0.0000)  2 Ga 2.20
Ga (0.0000, 0.0000, 0.0000)  2 S 2.20, 4 Nb 2.42

***

The following is a PBE calculation of crystalline SbAuSeN2 at its relaxed geometry, from Alexandria via LeMat-Bulk.

Summary:
Distance to the lowest polymorph of the same formula (meV/atom): 0
Uncorrected energy (eV for the cell shown): -21.2
Magnetization (Bohr magnetons per cell): 0.00
Formation energy (no corrections) (eV/atom): 1.28

Cell lengths 3.9238, 3.9238, 6.2056 Å; angles 90.00, 90.00, 90.00 degrees
With the nearest neighbours (Å) after each atom.
Fractional coordinates of all 5 atoms:
Sb (0.0000, 0.0000, 0.0000)  4 N 1.96
Au (0.5000, 0.5000, 0.5000)  4 Se 2.77
N (0.5000, 0.0000, 0.0000)  2 Sb 1.96
N (0.0000, 0.5000, 0.0000)  2 Sb 1.96
Se (0.0000, 0.0000, 0.5000)  4 Au 2.77, 2 Sb 3.10

***

The following is a PBE calculation of crystalline SrAgTe2 at its relaxed geometry, from Alexandria via LeMat-Bulk.

Summary:
Uncorrected energy (eV for the cell shown): -13.8
Magnetization (Bohr magnetons per cell): 0.00
Formation energy (no corrections) (eV/atom): -0.75

Cell lengths 4.2395, 4.4611, 7.1684 Å; angles 90.32, 90.00, 90.00 degrees
With the nearest neighbours (Å) after each atom.
Fractional coordinates of all 4 atoms:
Te (0.0000, 0.2495, 0.5149)  2 Ag 2.85
Te (0.0000, 0.2505, 0.9851)  2 Ag 2.85
Sr (0.5000, 0.7500, 0.7500)  8 Te 3.50-3.51
Ag (0.5000, 0.2500, 0.2500)  4 Te 2.85

***

The following is a PBE calculation of crystalline Ba2GeAu at its relaxed geometry, from Alexandria via LeMat-Bulk.

Summary:
Formation energy (eV/atom): -0.55
Uncorrected energy (eV for the cell shown): -13.9
Magnetization (Bohr magnetons per cell): 0.00

Cell lengths 3.9537, 3.9537, 8.5006 Å; angles 90.00, 90.00, 90.00 degrees
With the nearest neighbours (Å) after each atom.
Fractional coordinates of all 4 atoms:
Ge (0.5000, 0.5000, 0.0000)  8 Ba 3.51
Ba (0.0000, 0.0000, 0.2492)  4 Ge 3.51, 4 Au 3.52
Ba (0.0000, 0.0000, 0.7508)  4 Ge 3.51, 4 Au 3.52
Au (0.5000, 0.5000, 0.5000)  8 Ba 3.52

***

The following is a PBE calculation of crystalline TlCrP2 at its relaxed geometry, from Alexandria via LeMat-Bulk.

Summary:
Formation energy (eV/atom): 0.38
Distance to the lowest polymorph of the same formula (meV/atom): 360
Uncorrected energy (eV for the cell shown): -21.3
Magnetization (Bohr magnetons per cell): 1.05

Cell lengths 5.9613, 5.9613, 5.9613 Å; angles 151.93, 130.75, 57.65 degrees
With the nearest neighbours (Å) after each atom.
Fractional coordinates of all 4 atoms:
Tl (0.7500, 0.2500, 0.5000)  4 Cr 2.87, 2 Tl 2.89, 4 P 3.08
P (0.0752, 0.0752, 0.0000)  2 Cr 2.33
P (0.4248, 0.4248, 0.0000)  2 Cr 2.33
Cr (0.2500, 0.7500, 0.5000)  4 P 2.33

***

The following is a PBE calculation of crystalline Be3CdP at its relaxed geometry, from Alexandria via LeMat-Bulk.

Summary:
Formation energy (eV/atom): 0.63
Distance to the lowest polymorph of the same formula (meV/atom): 0
Uncorrected energy (eV for the cell shown): -14.4
Magnetization (Bohr magnetons per cell): 0.00

Cell lengths 4.2006, 4.2006, 4.2006 Å; angles 90.00, 90.00, 90.00 degrees
With the nearest neighbours (Å) after each atom.
Fractional coordinates of all 5 atoms:
Be (0.0000, 0.5000, 0.0000)  2 P 2.10
Be (0.5000, 0.0000, 0.0000)  2 P 2.10
Be (0.0000, 0.0000, 0.5000)  2 P 2.10
Cd (0.5000, 0.5000, 0.5000)  12 Be 2.97
P (0.0000, 0.0000, 0.0000)  6 Be 2.10

***

The following is a PBE calculation of crystalline Cs2Pm2HfTe6 at its relaxed geometry, from Alexandria via LeMat-Bulk.

Summary:
Uncorrected energy (eV for the cell shown): -53.7
Magnetization (Bohr magnetons per cell): 0.00
Formation energy (no corrections) (eV/atom): -1.24

Cell lengths 7.6689, 7.6689, 9.5433 Å; angles 98.25, 98.25, 119.65 degrees
With the nearest neighbours (Å) after each atom.
Fractional coordinates of all 11 atoms:
Te (0.6223, 0.9305, 0.3110)  1 Hf 2.94, 2 Pm 3.17
Te (0.9305, 0.6223, 0.3110)  1 Hf 2.94, 2 Pm 3.17
Te (0.0695, 0.3777, 0.6890)  1 Hf 2.94, 2 Pm 3.17
Te (0.7554, 0.7554, 0.6868)  1 Hf 2.94, 2 Pm 3.16
Te (0.3777, 0.0695, 0.6890)  1 Hf 2.94, 2 Pm 3.17
Te (0.2446, 0.2446, 0.3132)  1 Hf 2.94, 2 Pm 3.16
Pm (0.6677, 0.3323, 0.5000)  6 Te 3.16-3.17
Pm (0.3323, 0.6677, 0.5000)  6 Te 3.16-3.17
Cs (0.1731, 0.8269, 0.0000)  6 Te 3.81-3.87
Cs (0.8269, 0.1731, 0.0000)  6 Te 3.81-3.87
Hf (0.0000, 0.0000, 0.5000)  6 Te 2.94